# YHo2Er7 | Alexandria | PBE-GGA | optimized geometry
# * spin magnetization: 0.0000 μB per atom
# * distance to the lowest polymorph of the same formula: 0 meV/atom
# * formation energy from the elements: 1.201 kcal/mol of atoms
data_YHo2Er7
_chemical_formula_sum 'Y1 Ho2 Er7'
_symmetry_space_group_name_H-M 'P 1'
_symmetry_Int_Tables_number 1
_cell_length_a 9.365
_cell_length_b 9.365
_cell_length_c 6.965
_cell_angle_alpha 111.79
_cell_angle_beta 111.79
_cell_angle_gamma 33.37
loop_
_symmetry_equiv_pos_as_xyz
'x,y,z'
loop_
_atom_site_label
_atom_site_fract_x
_atom_site_fract_y
_atom_site_fract_z
Y1 0.000 0.000 0.000
Ho1 0.199 0.199 0.700
Ho2 0.801 0.801 0.300
Er1 0.000 0.000 0.500
Er2 0.200 0.200 0.201
Er3 0.390 0.390 0.140
Er4 0.390 0.390 0.639
Er5 0.610 0.610 0.361
Er6 0.610 0.610 0.860
Er7 0.800 0.800 0.799